A geometry-optimized V12Sn3Mo structure, computed with PBE.

abc: 4.9260 4.9476 9.8524
angles: 90.00 90.00 90.00
Fractional positions:
V (0.5000, 0.0000, 0.3823)
V (0.5000, 0.0000, 0.8719)
V (0.7494, 0.5000, 0.0000)
V (0.7599, 0.5000, 0.5000)
V (0.0000, 0.7588, 0.2585)
V (0.0000, 0.7588, 0.7415)
V (0.5000, 0.0000, 0.1281)
V (0.5000, 0.0000, 0.6177)
V (0.2506, 0.5000, 0.0000)
V (0.2401, 0.5000, 0.5000)
V (0.0000, 0.2412, 0.2585)
V (0.0000, 0.2412, 0.7415)
Sn (0.5000, 0.5000, 0.2506)
Sn (0.5000, 0.5000, 0.7494)
Sn (0.0000, 0.0000, 0.0000)
Mo (0.0000, 0.0000, 0.5000)

* raw total energy: -8.33 eV per atom
* Fermi-level density of states: 20.291 states/eV/f.u.
* M_tot: 0.00 μB/f.u.

=====

A geometry-optimized VSn2Mo structure, computed with PBE.

abc: 3.0026 3.0026 10.2810
angles: 81.60 81.60 60.00
Fractional positions:
Mo (0.0000, 0.0000, 0.0000)
Sn (0.0924, 0.0924, 0.7229)
Sn (0.9076, 0.9076, 0.2771)
V (0.5000, 0.5000, 0.5000)

* raw total energy: -6.36 eV per atom
* polymorph energy (0 for the lowest one): 325 meV per atom
* Fermi-level density of states: 4.133 states/eV/f.u.
* M_tot: 0.00 μB/f.u.

=====

A geometry-optimized VSn2Mo2 structure, computed with PBE.

abc: 3.5704 3.5704 8.4633
angles: 77.82 77.82 90.00
Fractional positions:
Mo (0.7500, 0.2500, 0.5000)
Mo (0.2500, 0.7500, 0.5000)
Sn (0.3963, 0.3963, 0.2074)
Sn (0.6037, 0.6037, 0.7926)
V (0.0000, 0.0000, 0.0000)

* raw total energy: -7.15 eV per atom
* polymorph energy (0 for the lowest one): 209 meV per atom
* Fermi-level density of states: 3.982 states/eV/f.u.
* M_tot: 2.83 μB/f.u.

=====

A geometry-optimized V12SnMo6 structure, computed with PBE.

abc: 6.9815 6.7359 6.0935
angles: 92.40 90.81 92.16
Fractional positions:
V (0.0457, 0.1580, 0.6056)
V (0.3396, 0.0515, 0.3664)
V (0.4575, 0.3488, 0.1236)
V (0.8540, 0.5552, 0.6276)
V (0.5425, 0.6512, 0.8764)
V (0.6604, 0.9485, 0.6336)
V (0.6353, 0.9511, 0.1304)
V (0.1538, 0.4321, 0.8763)
V (0.9543, 0.8420, 0.3944)
V (0.3647, 0.0489, 0.8696)
V (0.8462, 0.5679, 0.1237)
V (0.1460, 0.4448, 0.3724)
Sn (0.0000, 0.0000, 0.0000)
Mo (0.7477, 0.2715, 0.8731)
Mo (0.5541, 0.6527, 0.3785)
Mo (0.2426, 0.7530, 0.6320)
Mo (0.4459, 0.3473, 0.6215)
Mo (0.2523, 0.7285, 0.1269)
Mo (0.7574, 0.2470, 0.3680)

* raw total energy: -9.30 eV per atom
* Fermi-level density of states: 21.328 states/eV/f.u.
* M_tot: 0.00 μB/f.u.

=====

A geometry-optimized V3SnMo structure, computed with PBE.

abc: 2.7121 4.5555 12.7961
angles: 90.00 96.08 90.00
Fractional positions:
V (0.6273, 0.7500, 0.2546)
V (0.3727, 0.2500, 0.7454)
V (0.5250, 0.7500, 0.0499)
V (0.4750, 0.2500, 0.9501)
V (0.6786, 0.2500, 0.3573)
V (0.3214, 0.7500, 0.6427)
Sn (0.9233, 0.7500, 0.8467)
Sn (0.0767, 0.2500, 0.1533)
Mo (0.2238, 0.7500, 0.4476)
Mo (0.7762, 0.2500, 0.5524)

* raw total energy: -8.16 eV per atom
* polymorph energy (0 for the lowest one): 0 meV per atom
* Fermi-level density of states: 5.895 states/eV/f.u.
* M_tot: 0.00 μB/f.u.

=====

A geometry-optimized VSn3Mo structure, computed with PBE.

abc: 5.2288 5.2288 5.2288
angles: 90.00 90.00 90.00
Fractional positions:
Mo (0.0000, 0.0000, 0.0000)
Sn (0.0000, 0.5000, 0.0000)
Sn (0.0000, 0.0000, 0.5000)
Sn (0.5000, 0.0000, 0.0000)
V (0.5000, 0.5000, 0.5000)

* raw total energy: -5.53 eV per atom
* polymorph energy (0 for the lowest one): 0 meV per atom
* Fermi-level density of states: 11.005 states/eV/f.u.
* M_tot: 4.61 μB/f.u.

=====

A geometry-optimized V4SnMo3 structure, computed with PBE.

abc: 4.4085 6.2649 8.8169
angles: 90.00 90.00 90.00
Fractional positions:
Mo (0.0000, 0.0000, 0.0000)
Mo (0.0000, 0.0000, 0.5000)
Mo (0.5001, 0.0000, 0.7500)
Mo (0.4999, 0.0000, 0.2500)
Mo (0.5003, 0.5000, 0.7500)
Mo (0.4997, 0.5000, 0.2500)
Sn (0.0000, 0.5000, 0.0000)
Sn (0.0000, 0.5000, 0.5000)
V (0.5000, 0.7678, 0.0000)
V (0.5000, 0.7678, 0.5000)
V (0.5000, 0.2322, 0.0000)
V (0.5000, 0.2322, 0.5000)
V (0.0003, 0.7678, 0.7500)
V (0.9997, 0.7678, 0.2500)
V (0.9997, 0.2322, 0.2500)
V (0.0003, 0.2322, 0.7500)

* raw total energy: -9.19 eV per atom
* Fermi-level density of states: 5.197 states/eV/f.u.
* M_tot: 0.00 μB/f.u.

=====

A geometry-optimized VSn2Mo structure, computed with PBE.

abc: 4.7018 4.7018 4.7018
angles: 60.00 60.00 60.00
Fractional positions:
Mo (0.5000, 0.5000, 0.5000)
Sn (0.2500, 0.2500, 0.2500)
Sn (0.7500, 0.7500, 0.7500)
V (0.0000, 0.0000, 0.0000)

* raw total energy: -6.68 eV per atom
* polymorph energy (0 for the lowest one): 0 meV per atom
* Fermi-level density of states: 5.990 states/eV/f.u.
* M_tot: 1.29 μB/f.u.